[1]
Computed, not measured: LaNdSm2Tm4 after structural relaxation at the GGA-PBE level of DFT.

Unit cell a=9.511 b=9.510 c=11.855 alpha=128.55 beta=128.56 gamma=88.22
Positions (direct):
La (0.500, 0.500, 0.500)
La (0.000, 0.000, 0.000)
Nd (0.000, 0.500, 0.000)
Nd (0.000, 0.500, 0.500)
Sm (0.500, 0.000, 0.000)
Sm (0.500, 0.000, 0.500)
Sm (0.000, 0.000, 0.500)
Sm (0.500, 0.500, 0.000)
Tm (0.250, 0.750, 0.000)
Tm (0.750, 0.250, 0.500)
Tm (0.250, 0.750, 0.500)
Tm (0.750, 0.250, 0.000)
Tm (0.749, 0.749, 0.001)
Tm (0.751, 0.751, 0.499)
Tm (0.249, 0.249, 0.501)
Tm (0.251, 0.251, 0.999)

Properties
The calculation puts the calculated volume at 532.12 Å³/cell. The space group is C2/c, No. 15. As for the crystal system: monoclinic. For the formation energy, the calculation gives 3.27 eV/f.u.

=====

[2]
Computed, not measured: La2NdSm6Tm3 after structural relaxation at the GGA-PBE level of DFT.

Unit cell a=6.276 b=6.276 c=11.980 alpha=95.01 beta=95.01 gamma=120.02
Positions (direct):
La (0.334, 0.666, 0.000)
La (0.666, 0.334, 0.000)
Nd (0.000, 0.000, 0.000)
Sm (0.914, 0.581, 0.743)
Sm (0.753, 0.753, 0.257)
Sm (0.086, 0.419, 0.257)
Sm (0.581, 0.914, 0.743)
Sm (0.247, 0.247, 0.743)
Sm (0.419, 0.086, 0.257)
Tm (0.167, 0.833, 0.500)
Tm (0.833, 0.167, 0.500)
Tm (0.500, 0.500, 0.500)

Properties
The calculation puts the calculated volume at 402.26 Å³/cell. The space group is C2/m, No. 12. As for the crystal system: monoclinic. For the formation energy, the calculation gives 0.29 eV/f.u.

=====

[3]
Computed, not measured: La2Nd4SmTm after structural relaxation at the GGA-PBE level of DFT.

Unit cell a=5.183 b=5.167 c=11.640 alpha=63.57 beta=90.00 gamma=90.00
Positions (direct):
La (0.000, 0.000, 0.000)
La (0.500, 0.000, 0.500)
Nd (0.000, 0.753, 0.748)
Nd (0.000, 0.247, 0.252)
Nd (0.500, 0.748, 0.252)
Nd (0.500, 0.252, 0.748)
Sm (0.500, 0.500, 0.000)
Tm (0.000, 0.500, 0.500)

Properties
The calculation puts the calculated volume at 279.14 Å³/cell. The space group is P2/m, No. 10. As for the crystal system: monoclinic. For the formation energy, the calculation gives 0.17 eV/f.u.

=====

[4]
Computed, not measured: La2NdSmTm5 after structural relaxation at the GGA-PBE level of DFT.

Unit cell a=8.647 b=8.647 c=9.947 alpha=115.76 beta=115.76 gamma=90.00
Positions (direct):
La (0.118, 0.382, 0.000)
La (0.618, 0.118, 0.000)
La (0.382, 0.882, 0.000)
La (0.882, 0.618, 0.000)
Nd (0.250, 0.750, 0.500)
Nd (0.750, 0.250, 0.500)
Sm (0.250, 0.250, 0.500)
Sm (0.750, 0.750, 0.500)
Tm (0.927, 0.427, 0.281)
Tm (0.646, 0.146, 0.719)
Tm (0.073, 0.573, 0.719)
Tm (0.146, 0.073, 0.719)
Tm (0.573, 0.646, 0.719)
Tm (0.854, 0.927, 0.281)
Tm (0.427, 0.354, 0.281)
Tm (0.354, 0.854, 0.281)
Tm (0.500, 0.500, 0.000)
Tm (0.000, 0.000, 0.000)

Properties
The calculation puts the calculated volume at 586.61 Å³/cell. The space group is I4/mcm, No. 140. As for the crystal system: tetragonal. For the formation energy, the calculation gives 2.23 eV/f.u.